# 1
Computed, not measured: a relaxed structure of CrHN2F at the GGA+U level of DFT.

Computed properties:
As for the space group: No. 123.

a = 3.029 Å, b = 3.029 Å, c = 4.441 Å
α = 90.00°, β = 90.00°, γ = 90.00°
Sites, in units of the cell vectors:
N  0.500  0.000  0.000
Cr  0.500  0.500  0.500
N  0.000  0.500  0.000
H  0.000  0.000  0.000
F  0.000  0.000  0.500

# 2
Computed, not measured: a relaxed structure of NaCrH8N2F6 at the GGA+U level of DFT.

Computed properties:
As for the space group: No. 225.

a = 6.109 Å, b = 6.109 Å, c = 6.109 Å
α = 60.00°, β = 60.00°, γ = 60.00°
Sites, in units of the cell vectors:
F  0.775  0.225  0.775
H  0.181  0.181  0.181
F  0.775  0.775  0.225
H  0.181  0.181  0.456
H  0.544  0.819  0.819
F  0.225  0.225  0.775
H  0.181  0.456  0.181
H  0.456  0.181  0.181
Na  0.500  0.500  0.500
H  0.819  0.819  0.544
F  0.225  0.775  0.775
N  0.250  0.250  0.250
N  0.750  0.750  0.750
F  0.775  0.225  0.225
H  0.819  0.819  0.819
H  0.819  0.544  0.819
Cr  0.000  0.000  0.000
F  0.225  0.775  0.225

# 3
Computed, not measured: a relaxed structure of CrH20N2O6F5 at the GGA+U level of DFT.

Computed properties:
As for the space group: No. 165.

a = 7.004 Å, b = 7.004 Å, c = 13.591 Å
α = 90.00°, β = 90.00°, γ = 120.00°
Sites, in units of the cell vectors:
H  0.333  0.667  0.598
H  0.098  0.834  0.347
H  0.312  0.795  0.701
Cr  0.000  0.000  0.000
H  0.483  0.795  0.201
H  0.902  0.736  0.153
F  0.285  0.000  0.750
O  0.734  0.902  0.913
H  0.809  0.580  0.560
Cr  0.000  0.000  0.500
H  0.098  0.264  0.847
H  0.420  0.229  0.560
H  0.166  0.902  0.847
F  0.667  0.333  0.028
O  0.832  0.098  0.587
O  0.266  0.168  0.587
H  0.205  0.688  0.201
F  0.715  0.715  0.750
F  0.333  0.667  0.472
F  0.000  0.285  0.750
H  0.264  0.098  0.653
H  0.736  0.834  0.847
H  0.229  0.420  0.940
H  0.191  0.420  0.440
O  0.734  0.832  0.413
H  0.834  0.098  0.153
H  0.736  0.902  0.347
O  0.098  0.832  0.913
H  0.333  0.667  0.098
H  0.166  0.264  0.347
O  0.832  0.734  0.087
H  0.191  0.771  0.940
H  0.580  0.771  0.440
O  0.098  0.266  0.413
F  0.667  0.333  0.528
O  0.902  0.168  0.087
H  0.312  0.517  0.201
F  0.000  0.715  0.250
H  0.688  0.483  0.799
O  0.168  0.266  0.913
H  0.667  0.333  0.902
F  0.715  0.000  0.250
H  0.771  0.191  0.560
O  0.266  0.098  0.087
O  0.168  0.902  0.413
H  0.517  0.312  0.299
H  0.902  0.166  0.653
H  0.667  0.333  0.402
H  0.229  0.809  0.440
N  0.667  0.333  0.325
H  0.795  0.483  0.299
H  0.795  0.312  0.799
H  0.834  0.736  0.653
H  0.483  0.688  0.701
H  0.771  0.580  0.060
F  0.285  0.285  0.250
H  0.517  0.205  0.799
H  0.809  0.229  0.060
H  0.205  0.517  0.701
H  0.420  0.191  0.060
N  0.667  0.333  0.825
F  0.333  0.667  0.972
N  0.333  0.667  0.675
N  0.333  0.667  0.175
O  0.902  0.734  0.587
H  0.580  0.809  0.940
H  0.264  0.166  0.153
H  0.688  0.205  0.299

# 4
Computed, not measured: a relaxed structure of Na2CrHF6 at the GGA+U level of DFT.

Computed properties:
As for the space group: No. 14.

a = 5.170 Å, b = 4.416 Å, c = 10.505 Å
α = 90.00°, β = 90.63°, γ = 90.00°
Sites, in units of the cell vectors:
F  0.845  0.270  0.366
H  0.000  0.500  0.000
F  0.155  0.730  0.634
F  0.655  0.770  0.134
H  0.500  0.000  0.500
Cr  0.000  0.500  0.500
F  0.141  0.716  0.000
Na  0.500  0.495  0.703
Na  0.500  0.505  0.297
F  0.641  0.784  0.500
F  0.150  0.725  0.364
Na  0.000  0.005  0.203
Na  0.000  0.995  0.797
F  0.359  0.216  0.500
F  0.850  0.275  0.636
Cr  0.500  0.000  0.000
F  0.345  0.230  0.866
F  0.650  0.775  0.864
F  0.859  0.284  0.000
F  0.350  0.225  0.136

# 5
Computed, not measured: a relaxed structure of RbCrH2F6 at the GGA+U level of DFT.

Computed properties:
As for the space group: No. 15.

a = 7.069 Å, b = 7.069 Å, c = 5.601 Å
α = 89.55°, β = 89.55°, γ = 94.24°
Sites, in units of the cell vectors:
H  0.678  0.042  0.265
F  0.430  0.821  0.625
F  0.570  0.179  0.375
F  0.179  0.570  0.875
H  0.042  0.678  0.765
F  0.821  0.430  0.125
Cr  0.567  0.433  0.250
F  0.334  0.473  0.439
H  0.958  0.322  0.235
Cr  0.433  0.567  0.750
F  0.956  0.765  0.689
F  0.666  0.527  0.561
H  0.322  0.958  0.735
F  0.235  0.044  0.811
F  0.527  0.666  0.061
F  0.044  0.235  0.311
Rb  0.851  0.149  0.750
Rb  0.149  0.851  0.250
F  0.473  0.334  0.939
F  0.765  0.956  0.189

# 6
Computed, not measured: a relaxed structure of Hf2Cr2F at the GGA+U level of DFT.

Computed properties:
As for the space group: No. 127.

a = 6.142 Å, b = 6.142 Å, c = 5.058 Å
α = 90.00°, β = 90.00°, γ = 90.00°
Sites, in units of the cell vectors:
Cr  0.157  0.657  0.500
Hf  0.664  0.164  0.000
Cr  0.343  0.157  0.500
Hf  0.336  0.836  0.000
Cr  0.843  0.343  0.500
Hf  0.836  0.664  0.000
F  0.000  0.000  0.000
Cr  0.657  0.843  0.500
Hf  0.164  0.336  0.000
F  0.500  0.500  0.000

# 7
Computed, not measured: a relaxed structure of Hf2Cr2F at the GGA+U level of DFT.

Computed properties:
As for the space group: No. 139.

a = 3.343 Å, b = 3.343 Å, c = 7.849 Å
α = 77.71°, β = 77.71°, γ = 90.00°
Sites, in units of the cell vectors:
Cr  0.250  0.750  0.500
Cr  0.750  0.250  0.500
Hf  0.609  0.609  0.783
Hf  0.391  0.391  0.217
F  0.000  0.000  0.000

# 8
Computed, not measured: a relaxed structure of HfCrF3 at the GGA+U level of DFT.

Computed properties:
As for the space group: No. 221.

a = 4.297 Å, b = 4.297 Å, c = 4.297 Å
α = 90.00°, β = 90.00°, γ = 90.00°
Sites, in units of the cell vectors:
F  0.500  0.000  0.000
Cr  0.500  0.500  0.500
F  0.000  0.500  0.000
F  0.000  0.000  0.500
Hf  0.000  0.000  0.000

# 9
Computed, not measured: a relaxed structure of HfCrF3 at the GGA+U level of DFT.

Computed properties:
As for the space group: No. 221.

a = 4.225 Å, b = 4.225 Å, c = 4.225 Å
α = 90.00°, β = 90.00°, γ = 90.00°
Sites, in units of the cell vectors:
F  0.000  0.000  0.500
F  0.000  0.500  0.000
F  0.500  0.000  0.000
Cr  0.000  0.000  0.000
Hf  0.500  0.500  0.500

# 10
Computed, not measured: a relaxed structure of Hf3CrF at the GGA+U level of DFT.

Computed properties:
As for the space group: No. 221.

a = 4.520 Å, b = 4.520 Å, c = 4.520 Å
α = 90.00°, β = 90.00°, γ = 90.00°
Sites, in units of the cell vectors:
Hf  0.000  0.000  0.500
Hf  0.000  0.500  0.000
Hf  0.500  0.000  0.000
Cr  0.500  0.500  0.500
F  0.000  0.000  0.000

# 11
Computed, not measured: a relaxed structure of HfCr2F8 at the GGA+U level of DFT.

Computed properties:
As for the space group: No. 12.

a = 3.234 Å, b = 5.765 Å, c = 9.256 Å
α = 82.73°, β = 100.06°, γ = 90.00°
Sites, in units of the cell vectors:
Cr  0.827  0.599  0.654
F  0.393  0.501  0.786
F  0.394  0.991  0.788
F  0.007  0.777  0.014
F  0.606  0.009  0.212
Hf  0.500  0.000  0.000
Cr  0.173  0.401  0.346
F  0.993  0.223  0.986
F  0.741  0.306  0.482
F  0.607  0.499  0.214
F  0.259  0.694  0.518

# 12
Computed, not measured: a relaxed structure of HfCr2F at the GGA+U level of DFT.

Computed properties:
As for the space group: No. 225.

a = 4.753 Å, b = 4.753 Å, c = 4.753 Å
α = 60.00°, β = 60.00°, γ = 60.00°
Sites, in units of the cell vectors:
Hf  0.500  0.500  0.500
Cr  0.250  0.250  0.250
F  0.000  0.000  0.000
Cr  0.750  0.750  0.750

Total energy across the listed records, respectively: -5.055 -5.090 -5.069 -4.923 -4.951 -7.576 -6.562 -6.591 -5.858 -8.056 -6.604 -6.186 eV per atom.
Fermi-level density of states across the listed records, respectively: 1.7 0.0 0.0 0.0 0.0 5.7 5.0 2.6 3.1 6.0 0.0 7.0 states/eV per cell.